Below is BaInTe3 after structural relaxation, with properties calculated at the PBE level.

a = 7.677 Å, b = 8.024 Å, c = 6.742 Å
α = 89.90°, β = 115.77°, γ = 79.05°
Fractional positions:
Ba 0.316 0.918 0.404
Ba 0.669 0.384 0.080
In 0.993 0.151 0.742
In 0.993 0.651 0.742
Te 0.213 0.339 0.120
Te 0.773 0.962 0.364
Te 0.331 0.799 0.911
Te 0.770 0.963 0.896
Te 0.216 0.339 0.588
Te 0.655 0.502 0.573

Results
Its space-group type is No. 2. The value obtained for the formation energy without anion corrections is -792 meV/atom. The calculation puts the energy above the most stable polymorph in this dataset at 0.000 eV per atom.